No. 1
The following is a DFT calculation (PBE) of crystalline TmScSb at its relaxed geometry.

The magnetic moment is 1.02 μB/f.u. The total energy is -4.833 eV/atom.

The space group is F-43m (No. 216) and the conventional cell measures 7.089, 7.089 and 7.089 Å, with angles of 90.00, 90.00 and 90.00 degrees. The inequivalent atoms are Tm at (0.000, 0.000, 0.000), Sc at (0.250, 0.250, 0.250) and Sb at (0.250, 0.250, 0.750).

***

No. 2
The following is a DFT calculation (PBE) of crystalline TmScSb at its relaxed geometry.

The magnetic moment is 0.36 μB/f.u. The total energy is -5.430 eV/atom.

The space group is F-43m (No. 216) and the conventional cell measures 6.919, 6.919 and 6.919 Å, with angles of 90.00, 90.00 and 90.00 degrees. The inequivalent atoms are Tm at (0.000, 0.000, 0.000), Sc at (0.000, 0.000, 0.500) and Sb at (0.250, 0.250, 0.750).

***

No. 3
The following is a DFT calculation (PBE) of crystalline Tm3Sc2Sb3 at its relaxed geometry.

The magnetic moment is 0.87 μB/f.u. The total energy is -5.695 eV/atom.

The space group is P6_3/mcm (No. 193) and the conventional cell measures 8.6923, 8.6923 and 6.0354 Å, with angles of 90.00, 90.00 and 120.00 degrees. The inequivalent atoms are Tm at (0.0000, 0.2448, 0.2500), Sc at (0.3333, 0.6667, 0.0000) and Sb at (0.0000, 0.3945, 0.7500).

***

No. 4
The following is a DFT calculation (PBE) of crystalline TmZr2ScSb2 at its relaxed geometry.

The magnetic moment is 0.20 μB/f.u. The total energy is -6.769 eV/atom.

The space group is I4mm (No. 107) and the conventional cell measures 4.215, 4.215 and 16.187 Å, with angles of 90.00, 90.00 and 90.00 degrees. The inequivalent atoms are Tm at (0.000, 0.000, 0.000), Zr at (0.000, 0.500, 0.177), Sc at (0.000, 0.000, 0.350), Sb at (0.000, 0.000, 0.538) and Sb at (0.000, 0.000, 0.814).

***

No. 5
The following is a DFT calculation (PBE) of crystalline ScSbW2 at its relaxed geometry.

The magnetic moment is 0.03 μB/f.u. The total energy is -8.818 eV/atom.

The space group is F-43m (No. 216) and the conventional cell measures 6.596, 6.596 and 6.596 Å, with angles of 90.00, 90.00 and 90.00 degrees. The inequivalent atoms are Sc at (0.000, 0.000, 0.000), Sb at (0.250, 0.250, 0.750), W at (0.000, 0.000, 0.500) and W at (0.250, 0.250, 0.250).

***

No. 6
The following is a DFT calculation (PBE) of crystalline ScSb2W at its relaxed geometry.

The magnetic moment is 0.95 μB/f.u. The total energy is -6.473 eV/atom.

The space group is F-43m (No. 216) and the conventional cell measures 6.947, 6.947 and 6.947 Å, with angles of 90.00, 90.00 and 90.00 degrees. The inequivalent atoms are Sc at (0.000, 0.000, 0.000), Sb at (0.000, 0.000, 0.500), Sb at (0.250, 0.250, 0.250) and W at (0.250, 0.250, 0.750).

***

No. 7
The following is a DFT calculation (PBE) of crystalline ScZnSb2 at its relaxed geometry.

The magnetic moment is 0.00 μB/f.u. The total energy is -3.992 eV/atom.

The space group is F-43m (No. 216) and the conventional cell measures 7.233, 7.233 and 7.233 Å, with angles of 90.00, 90.00 and 90.00 degrees. The inequivalent atoms are Sc at (0.000, 0.000, 0.000), Zn at (0.250, 0.250, 0.250), Sb at (0.000, 0.000, 0.500) and Sb at (0.250, 0.250, 0.750).

***

No. 8
The following is a DFT calculation (PBE) of crystalline ScZnSb2 at its relaxed geometry.

The magnetic moment is 0.00 μB/f.u. The total energy is -3.992 eV/atom.

The space group is F-43m (No. 216) and the conventional cell measures 7.233, 7.233 and 7.233 Å, with angles of 90.00, 90.00 and 90.00 degrees. The inequivalent atoms are Sc at (0.000, 0.000, 0.000), Zn at (0.250, 0.250, 0.250), Sb at (0.000, 0.000, 0.500) and Sb at (0.250, 0.250, 0.750).

***

No. 9
The following is a DFT calculation (PBE) of crystalline Sm3Sb2Se at its relaxed geometry.

The magnetic moment is 0.01 μB/f.u. The total energy is -5.719 eV/atom.

The space group is Immm (No. 71) and the conventional cell measures 4.380, 6.200 and 13.095 Å, with angles of 90.00, 90.00 and 90.00 degrees. The inequivalent atoms are Sm at (0.000, 0.000, 0.000), Sm at (0.000, 0.000, 0.339), Sb at (0.000, 0.500, 0.331) and Se at (0.000, 0.500, 0.000).

***

No. 10
The following is a DFT calculation (PBE) of crystalline Sm6SbSe5 at its relaxed geometry.

The magnetic moment is 0.02 μB/f.u. The total energy is -5.865 eV/atom.

The space group is C2/m (No. 12) and the conventional cell measures 7.302, 12.642 and 7.327 Å, with angles of 90.00, 109.42 and 90.00 degrees. The inequivalent atoms are Sm at (0.243, 0.000, 0.255), Sm at (0.243, 0.170, 0.741), Sb at (0.000, 0.500, 0.000), Se at (0.000, 0.000, 0.500), Se at (0.000, 0.168, 0.000) and Se at (0.000, 0.338, 0.500).

***

No. 11
The following is a DFT calculation (PBE) of crystalline Sm3Sb2Se at its relaxed geometry.

The magnetic moment is 0.01 μB/f.u. The total energy is -5.712 eV/atom.

The space group is P-3m1 (No. 164) and the conventional cell measures 4.3812, 4.3812 and 10.6821 Å, with angles of 90.00, 90.00 and 120.00 degrees. The inequivalent atoms are Sm at (0.0000, 0.0000, 0.0000), Sm at (0.3333, 0.6667, 0.6568), Sb at (0.3333, 0.6667, 0.1734) and Se at (0.0000, 0.0000, 0.5000).

***

No. 12
The following is a DFT calculation (PBE) of crystalline Sm2SbSe at its relaxed geometry.

The magnetic moment is 0.01 μB/f.u. The total energy is -5.754 eV/atom.

The space group is P4/mmm (No. 123) and the conventional cell measures 4.333, 4.333 and 6.124 Å, with angles of 90.00, 90.00 and 90.00 degrees. The inequivalent atoms are Sm at (0.000, 0.000, 0.000), Sm at (0.500, 0.500, 0.500), Sb at (0.000, 0.000, 0.500) and Se at (0.500, 0.500, 0.000).

***

No. 13
The following is a DFT calculation (PBE) of crystalline Sm4Sb3Se at its relaxed geometry.

The magnetic moment is 0.02 μB/f.u. The total energy is -5.689 eV/atom.

The space group is Cmmm (No. 65) and the conventional cell measures 8.799, 12.446 and 4.406 Å, with angles of 90.00, 90.00 and 90.00 degrees. The inequivalent atoms are Sm at (0.000, 0.247, 0.000), Sm at (0.246, 0.000, 0.500), Sb at (0.000, 0.500, 0.000), Sb at (0.250, 0.250, 0.500) and Se at (0.000, 0.000, 0.000).